[1]
Entry from Alexandria via LeMat-Bulk: a relaxed Nd5YBi6 crystal (PBE).

Cell: 7.9517 7.9517 7.9512 Å, 99.61 99.61 120.01°
Closest atoms and distances in Å follow each position.
Fractional coordinates of all 12 atoms:
1 Nd 0.0000 0.0000 0.0000  6 Bi 3.25-3.28
2 Nd 0.1661 0.8339 0.5000  6 Bi 3.25
3 Nd 0.3316 0.6684 0.0000  6 Bi 3.25-3.27
4 Nd 0.6684 0.3316 0.0000  6 Bi 3.25-3.27
5 Nd 0.8339 0.1661 0.5000  6 Bi 3.25
6 Y 0.5000 0.5000 0.5000  6 Bi 3.20-3.21
7 Bi 0.0887 0.4179 0.2532  1 Y 3.20, 5 Nd 3.25-3.27
8 Bi 0.2541 0.2541 0.7486  1 Y 3.21, 5 Nd 3.25-3.28
9 Bi 0.4179 0.0887 0.2532  1 Y 3.20, 5 Nd 3.25-3.27
10 Bi 0.5821 0.9113 0.7468  1 Y 3.20, 5 Nd 3.25-3.27
11 Bi 0.7459 0.7459 0.2514  1 Y 3.21, 5 Nd 3.25-3.28
12 Bi 0.9113 0.5821 0.7468  1 Y 3.20, 5 Nd 3.25-3.27

Output
Formation energy from the elements, eV per atom: -0.939
Calculated density, g/cm3: 8.4

[2]
Entry from Alexandria via LeMat-Bulk: a relaxed TmPuTlPb crystal (PBE).

Cell: 3.8968 3.8968 7.3020 Å, 90.00 90.00 90.00°
Closest atoms and distances in Å follow each position.
Fractional coordinates of all 4 atoms:
1 Tm 0.0000 0.0000 0.0000  4 Pb 3.25, 4 Tl 3.26, 1 Pu 3.64
2 Pu 0.0000 0.0000 0.5013  4 Pb 3.36, 4 Tl 3.36, 2 Tm 3.64-3.66
3 Tl 0.5000 0.5000 0.2382  4 Tm 3.26, 4 Pu 3.36, 1 Pb 3.47
4 Pb 0.5000 0.5000 0.7634  4 Tm 3.25, 4 Pu 3.36, 1 Tl 3.47

Output
Excess energy over the best structure of this formula in the dataset, eV/f.u.: 0.00
Formation energy from the elements, eV per atom: -0.183
Calculated density, g/cm3: 12.3

[3]
Entry from Alexandria via LeMat-Bulk: a relaxed SnRhPbSe2 crystal (PBE).

Cell: 5.4712 5.4712 5.0302 Å, 90.00 90.00 90.00°
Closest atoms and distances in Å follow each position.
Fractional coordinates of all 5 atoms:
1 Sn 0.0000 0.0000 0.0000  8 Se 3.72, 4 Rh 3.87
2 Rh 0.5000 0.5000 0.0000  2 Pb 2.52
3 Pb 0.5000 0.5000 0.5000  2 Rh 2.52, 4 Se 2.74
4 Se 0.0000 0.5000 0.5000  2 Pb 2.74
5 Se 0.5000 0.0000 0.5000  2 Pb 2.74

Output
Excess energy over the best structure of this formula in the dataset, eV/f.u.: 0.00
Calculated density, g/cm3: 6.5
Uncorrected formation energy, meV/atom: 694

[4]
Entry from Alexandria via LeMat-Bulk: a relaxed Ca3AcIr crystal (PBE).

Cell: 8.0883 6.9064 6.6676 Å, 90.00 90.00 90.00°
Closest atoms and distances in Å follow each position.
Fractional coordinates of all 10 atoms:
1 Ca 0.0000 0.1823 0.0000  1 Ir 2.82
2 Ca 0.2481 0.6636 0.0016  2 Ir 2.85-2.86
3 Ca 0.2519 0.3364 0.5016  2 Ir 2.85-2.86
4 Ca 0.5000 0.8177 0.5000  1 Ir 2.82
5 Ca 0.7481 0.3364 0.5016  2 Ir 2.85-2.86
6 Ca 0.7519 0.6636 0.0016  2 Ir 2.85-2.86
7 Ac 0.0000 0.8314 0.4888  1 Ir 2.73
8 Ac 0.5000 0.1686 0.9888  1 Ir 2.73
9 Ir 0.0000 0.5049 0.2583  1 Ac 2.73, 5 Ca 2.82-2.86
10 Ir 0.5000 0.4951 0.7583  1 Ac 2.73, 5 Ca 2.82-2.86

Output
Excess energy over the best structure of this formula in the dataset, eV/f.u.: 0.26
Formation energy from the elements, eV per atom: -0.235
Calculated density, g/cm3: 4.8

[5]
Entry from Alexandria via LeMat-Bulk: a relaxed Rb2Pt3 crystal (PBE).

Cell: 14.0124 6.9074 15.4821 Å, 64.80 26.49 88.71°
Closest atoms and distances in Å follow each position.
Fractional coordinates of all 10 atoms:
1 Rb 0.1042 0.8958 0.2560  2 Rb 2.95
2 Rb 0.5060 0.9940 0.3542  2 Rb 2.95
3 Rb 0.8958 0.1042 0.7440  2 Rb 2.95
4 Rb 0.9940 0.5060 0.1458  2 Rb 2.95
5 Pt 0.1050 0.7931 0.5212  2 Pt 2.61-2.62
6 Pt 0.2021 0.2021 0.7979  4 Pt 2.61-2.62
7 Pt 0.4521 0.4521 0.0479  4 Pt 2.61-2.62
8 Pt 0.6694 0.7288 0.4569  2 Pt 2.61-2.62
9 Pt 0.7288 0.6694 0.1450  2 Pt 2.61-2.62
10 Pt 0.7931 0.1050 0.5806  2 Pt 2.61-2.62

Output
Formation energy from the elements, eV per atom: 0.237
Calculated density, g/cm3: 9.0

[6]
Entry from Alexandria via LeMat-Bulk: a relaxed SrTi2InNi crystal (PBE).

Cell: 5.0749 5.0749 5.9837 Å, 90.00 90.00 90.00°
Closest atoms and distances in Å follow each position.
Fractional coordinates of all 5 atoms:
1 Sr 0.0000 0.0000 0.0000  2 In 2.99
2 Ti 0.0000 0.5000 0.5000  2 In 2.54
3 Ti 0.5000 0.0000 0.5000  2 In 2.54
4 In 0.0000 0.0000 0.5000  4 Ti 2.54
5 Ni 0.5000 0.5000 0.0000  4 Sr 3.59, 8 Ti 3.92

Output
Formation energy from the elements, eV per atom: 1.327
Calculated density, g/cm3: 3.8

- Which formula does entry 6 have?
  SrTi2InNi

- Which formula does entry 2 have?
  TmPuTlPb

- What is the calculated density in the fourth record?
  4.8 g/cm3

Copy entry 5 word for word.
Entry from Alexandria via LeMat-Bulk: a relaxed Rb2Pt3 crystal (PBE).

Cell: 14.0124 6.9074 15.4821 Å, 64.80 26.49 88.71°
Closest atoms and distances in Å follow each position.
Fractional coordinates of all 10 atoms:
1 Rb 0.1042 0.8958 0.2560  2 Rb 2.95
2 Rb 0.5060 0.9940 0.3542  2 Rb 2.95
3 Rb 0.8958 0.1042 0.7440  2 Rb 2.95
4 Rb 0.9940 0.5060 0.1458  2 Rb 2.95
5 Pt 0.1050 0.7931 0.5212  2 Pt 2.61-2.62
6 Pt 0.2021 0.2021 0.7979  4 Pt 2.61-2.62
7 Pt 0.4521 0.4521 0.0479  4 Pt 2.61-2.62
8 Pt 0.6694 0.7288 0.4569  2 Pt 2.61-2.62
9 Pt 0.7288 0.6694 0.1450  2 Pt 2.61-2.62
10 Pt 0.7931 0.1050 0.5806  2 Pt 2.61-2.62

Output
Formation energy from the elements, eV per atom: 0.237
Calculated density, g/cm3: 9.0